Pa2Ga3Fe5 after structural relaxation. Source: Alexandria via LeMat-Bulk, functional GGA-PBE.

a b c (Å): 7.9432 7.9432 7.9432
angles (deg): 103.15 92.43 136.89
Fractional positions:
Pa  0.1249  0.2262  0.3511
Pa  0.3751  0.7262  0.1012
Pa  0.6249  0.2738  0.8988
Pa  0.8751  0.7738  0.6489
Ga  0.1345  0.8829  0.0174
Ga  0.2500  0.7500  0.5000
Ga  0.3655  0.3829  0.7484
Ga  0.6345  0.6171  0.2516
Ga  0.7500  0.2500  0.5000
Ga  0.8655  0.1171  0.9826
Fe  0.0229  0.7500  0.2729
Fe  0.1327  0.6424  0.7752
Fe  0.2500  0.2500  0.0000
Fe  0.3673  0.1424  0.5097
Fe  0.4771  0.7500  0.7271
Fe  0.5229  0.2500  0.2729
Fe  0.6327  0.8576  0.4903
Fe  0.7500  0.7500  0.0000
Fe  0.8673  0.3576  0.2248
Fe  0.9771  0.2500  0.7271

Formation energy from the elements   -12.29 kJ per mole of atoms
Space-group type   Ibam, No. 72
DOS at the Fermi energy   8.8 states/eV/f.u.

---

Tb6CeDyY2 after structural relaxation. Source: Alexandria via LeMat-Bulk, functional GGA-PBE.

a b c (Å): 6.6486 6.6486 8.9597
angles (deg): 104.99 104.99 61.06
Fractional positions:
Tb  0.0936  0.5765  0.1968
Tb  0.1327  0.1327  0.4195
Tb  0.4235  0.9064  0.8032
Tb  0.5765  0.0936  0.1968
Tb  0.8673  0.8673  0.5805
Tb  0.9064  0.4235  0.8032
Ce  0.0000  0.0000  0.0000
Dy  0.5000  0.5000  0.5000
Y  0.4058  0.4058  0.8255
Y  0.5942  0.5942  0.1745

Formation energy from the elements   24.51 kJ per mole of atoms
Space-group type   C2/m, No. 12
DOS at the Fermi energy   22.3 states/eV/f.u.

---

Look up the formation energy from the elements of the first one. -12.29 kJ per mole of atoms